(1)
A geometry-optimized VCuPd structure. Source: Alexandria via LeMat-Bulk, functional GGA-PBE.

Summary:
Energy of formation, eV per atom: -0.057
Excess energy over the best structure of this formula in the dataset, eV/f.u.: 0.19

The structure in CIF format:
```
data_VCuPd
_chemical_formula_sum 'V2 Cu2 Pd2'
_symmetry_space_group_name_H-M 'I 4 m m'
_symmetry_Int_Tables_number 107
_symmetry_space_group_name_Hall 'I 4 -2'
_cell_length_a 2.695
_cell_length_b 2.695
_cell_length_c 11.246
_cell_angle_alpha 90.00
_cell_angle_beta 90.00
_cell_angle_gamma 90.00
loop_
_atom_site_label
_atom_site_fract_x
_atom_site_fract_y
_atom_site_fract_z
V1 0.000 0.000 0.000
Cu1 0.000 0.000 0.339
Pd1 0.000 0.000 0.669
```



(2)
A geometry-optimized V2Cu2Pd5 structure. Source: Alexandria via LeMat-Bulk, functional GGA-PBE.

Summary:
Energy of formation, eV per atom: 0.052

The structure in CIF format:
```
data_V2Cu2Pd5
_chemical_formula_sum 'V8 Cu8 Pd20'
_symmetry_space_group_name_H-M 'C m c e'
_symmetry_Int_Tables_number 64
_symmetry_space_group_name_Hall '-C 2ac 2'
_cell_length_a 12.216
_cell_length_b 6.652
_cell_length_c 6.691
_cell_angle_alpha 90.00
_cell_angle_beta 90.00
_cell_angle_gamma 90.00
loop_
_atom_site_label
_atom_site_fract_x
_atom_site_fract_y
_atom_site_fract_z
V1 0.222 0.000 0.000
Cu1 0.000 0.120 0.381
Pd1 0.000 0.000 0.000
Pd2 0.140 0.196 0.685
```



(3)
A geometry-optimized VCu4Pd structure. Source: Alexandria via LeMat-Bulk, functional GGA-PBE.

Summary:
Energy of formation, eV per atom: 0.041

The structure in CIF format:
```
data_VCu4Pd
_chemical_formula_sum 'V4 Cu16 Pd4'
_symmetry_space_group_name_H-M 'F -4 3 m'
_symmetry_Int_Tables_number 216
_symmetry_space_group_name_Hall 'F -4 2 3'
_cell_length_a 6.807
_cell_length_b 6.807
_cell_length_c 6.807
_cell_angle_alpha 90.00
_cell_angle_beta 90.00
_cell_angle_gamma 90.00
loop_
_atom_site_label
_atom_site_fract_x
_atom_site_fract_y
_atom_site_fract_z
V1 0.000 0.000 0.000
Cu1 0.125 0.125 0.375
Pd1 0.250 0.250 0.750
```



(4)
A geometry-optimized VCuPd structure. Source: Alexandria via LeMat-Bulk, functional GGA-PBE.

Summary:
Energy of formation, eV per atom: -0.014
Excess energy over the best structure of this formula in the dataset, eV/f.u.: 0.32

The structure in CIF format:
```
data_VCuPd
_chemical_formula_sum 'V1 Cu1 Pd1'
_symmetry_space_group_name_H-M 'P 3 m 1'
_symmetry_Int_Tables_number 156
_symmetry_space_group_name_Hall 'P 3 -2"'
_cell_length_a 4.2641
_cell_length_b 4.2641
_cell_length_c 2.6021
_cell_angle_alpha 90.00
_cell_angle_beta 90.00
_cell_angle_gamma 120.00
loop_
_atom_site_label
_atom_site_fract_x
_atom_site_fract_y
_atom_site_fract_z
V1 0.0000 0.0000 0.0000
Cu1 0.3333 0.6667 0.6411
Pd1 0.6667 0.3333 0.3323
```



(5)
A geometry-optimized V3CuPd6 structure. Source: Alexandria via LeMat-Bulk, functional GGA-PBE.

Summary:
Energy of formation, eV per atom: -0.039
Excess energy over the best structure of this formula in the dataset, eV/f.u.: 1.07

The structure in CIF format:
```
data_V3CuPd6
_chemical_formula_sum 'V12 Cu4 Pd24'
_symmetry_space_group_name_H-M 'C m c 21'
_symmetry_Int_Tables_number 36
_symmetry_space_group_name_Hall 'C 2c -2'
_cell_length_a 8.246
_cell_length_b 15.172
_cell_length_c 4.759
_cell_angle_alpha 90.00
_cell_angle_beta 90.00
_cell_angle_gamma 90.00
loop_
_atom_site_label
_atom_site_fract_x
_atom_site_fract_y
_atom_site_fract_z
V1 0.000 0.108 0.000
V2 0.154 0.391 0.703
Cu1 0.000 0.276 0.965
Pd1 0.000 0.189 0.452
Pd2 0.000 0.447 0.219
Pd3 0.169 0.037 0.585
Pd4 0.239 0.302 0.292
```



(6)
A geometry-optimized VCu2Pd7 structure. Source: Alexandria via LeMat-Bulk, functional GGA-PBE.

Summary:
Energy of formation, eV per atom: 0.193

The structure in CIF format:
```
data_VCu2Pd7
_chemical_formula_sum 'V2 Cu4 Pd14'
_symmetry_space_group_name_H-M 'C m m m'
_symmetry_Int_Tables_number 65
_symmetry_space_group_name_Hall '-C 2 2'
_cell_length_a 8.285
_cell_length_b 15.075
_cell_length_c 2.705
_cell_angle_alpha 90.00
_cell_angle_beta 90.00
_cell_angle_gamma 90.00
loop_
_atom_site_label
_atom_site_fract_x
_atom_site_fract_y
_atom_site_fract_z
V1 0.000 0.000 0.000
Cu1 0.000 0.333 0.500
Pd1 0.000 0.191 0.000
Pd2 0.000 0.500 0.500
Pd3 0.218 0.091 0.500
```